(1)
Below is an optimized crystal structure of BeTl3Rh, with properties calculated at the PBE-GGA level.

Summary:
energy of formation = 56.1 kJ/mol of atoms
total moment = 0.00 μB/f.u.
SG = No. 221
offset from the most stable computed form = 0.000 eV per formula unit
DFT total energy = -3.05 eV per atom
DOS at the Fermi energy = 2.48 states/eV per cell
volume = 147.9 Å³/cell

Lattice parameters (Å, degrees): 5.2883 5.2883 5.2883 90.00 90.00 90.00
Closest atoms and distances in Å follow each position.
Fractional positions:
Be 0.5000 0.5000 0.5000  12 Tl 3.74
Tl 0.0000 0.5000 0.0000  2 Rh 2.64
Tl 0.0000 0.0000 0.5000  2 Rh 2.64
Tl 0.5000 0.0000 0.0000  2 Rh 2.64
Rh 0.0000 0.0000 0.0000  6 Tl 2.64

=====

(2)
Below is an optimized crystal structure of AcLa3TbPm, with properties calculated at the PBE-GGA level.

Summary:
energy of formation = 16.5 kJ/mol of atoms
total moment = 0.00 μB/f.u.
SG = No. 12
DFT total energy = -4.54 eV per atom
DOS at the Fermi energy = 17.57 states/eV per cell
volume = 450.5 Å³/cell

Lattice parameters (Å, degrees): 5.9877 11.0032 7.1077 91.26 90.00 105.79
Closest atoms and distances in Å follow each position.
Fractional positions:
Tb 0.6403 0.2806 0.4954  4 La 3.24-3.52, 1 Ac 3.27
Tb 0.3597 0.7194 0.5046  4 La 3.24-3.52, 1 Ac 3.27
Pm 0.0575 0.1149 0.2830  3 La 3.37-3.42, 2 Tb 3.77
Pm 0.9425 0.8851 0.7170  3 La 3.37-3.42, 2 Tb 3.77
La 0.2189 0.4379 0.2836  1 Tb 3.34, 1 Pm 3.42, 1 La 3.59, 1 Ac 3.65
La 0.5152 0.0305 0.7494  1 Tb 3.24, 2 Pm 3.37, 1 Ac 3.45, 1 La 3.59
La 0.4848 0.9695 0.2506  1 Tb 3.24, 2 Pm 3.37, 1 Ac 3.45, 1 La 3.59
La 0.1582 0.3164 0.7510  2 Tb 3.52, 1 La 3.59, 2 Ac 3.62, 1 Pm 3.91
La 0.8418 0.6836 0.2490  2 Tb 3.52, 1 La 3.59, 2 Ac 3.62, 1 Pm 3.91
La 0.7811 0.5621 0.7164  1 Tb 3.34, 1 Pm 3.42, 1 La 3.59, 1 Ac 3.65
Ac 0.3513 0.7025 0.9639  1 Tb 3.27, 4 La 3.45-3.65
Ac 0.6487 0.2975 0.0361  1 Tb 3.27, 4 La 3.45-3.65

=====

(3)
Below is an optimized crystal structure of NpCdIr2, with properties calculated at the PBE-GGA level.

Summary:
energy of formation = -7.4 kJ/mol of atoms
total moment = 1.76 μB/f.u.
SG = No. 123
offset from the most stable computed form = 0.181 eV per formula unit
DFT total energy = -7.97 eV per atom
DOS at the Fermi energy = 5.03 states/eV per cell
volume = 72.4 Å³/cell

Lattice parameters (Å, degrees): 3.0593 3.0593 7.7318 90.00 90.00 90.00
Closest atoms and distances in Å follow each position.
Fractional positions:
Ir 0.0000 0.0000 0.2409  4 Np 2.85, 4 Cd 2.95, 4 Ir 3.06
Ir 0.0000 0.0000 0.7591  4 Np 2.85, 4 Cd 2.95, 4 Ir 3.06
Cd 0.5000 0.5000 0.5000  8 Ir 2.95, 4 Cd 3.06
Np 0.5000 0.5000 0.0000  8 Ir 2.85, 4 Np 3.06

=====

(4)
Below is an optimized crystal structure of Cs2Bi7Pb12, with properties calculated at the PBE-GGA level.

Summary:
energy of formation = -4.9 kJ/mol of atoms
total moment = 0.00 μB/f.u.
SG = No. 147
DFT total energy = -3.54 eV per atom
DOS at the Fermi energy = 8.16 states/eV per cell
volume = 782.9 Å³/cell

Lattice parameters (Å, degrees): 4.6652 13.9201 13.9201 120.00 90.00 90.00
Closest atoms and distances in Å follow each position.
Fractional positions:
Pb 0.2423 0.0922 0.2556  4 Bi 3.29-3.38
Pb 0.2512 0.6093 0.0429  4 Bi 3.22-3.54, 2 Pb 3.53-3.54
Pb 0.7577 0.9078 0.7444  4 Bi 3.29-3.38
Pb 0.7577 0.2556 0.1635  4 Bi 3.29-3.38
Pb 0.2512 0.4337 0.3907  4 Bi 3.22-3.54, 2 Pb 3.53-3.54
Pb 0.2423 0.1634 0.9078  4 Bi 3.29-3.38
Pb 0.7488 0.5663 0.6093  4 Bi 3.22-3.54, 2 Pb 3.53-3.54
Pb 0.7488 0.3907 0.9571  4 Bi 3.22-3.54, 2 Pb 3.53-3.54
Pb 0.7577 0.8366 0.0922  4 Bi 3.29-3.38
Pb 0.2423 0.7444 0.8366  4 Bi 3.29-3.38
Pb 0.2512 0.9571 0.5663  4 Bi 3.22-3.54, 2 Pb 3.53-3.54
Pb 0.7488 0.0429 0.4337  4 Bi 3.22-3.54, 2 Pb 3.53-3.54
Bi 0.5000 0.0000 0.0000  6 Pb 3.34
Bi 0.2642 0.8687 0.2795  7 Pb 3.22-3.54
Bi 0.2642 0.4108 0.1313  7 Pb 3.22-3.54
Bi 0.2642 0.7205 0.5892  7 Pb 3.22-3.54
Bi 0.7358 0.5892 0.8687  7 Pb 3.22-3.54
Bi 0.7358 0.2795 0.4108  7 Pb 3.22-3.54
Bi 0.7358 0.1313 0.7205  7 Pb 3.22-3.54
Cs 0.2379 0.3333 0.6667  6 Bi 4.00-4.01, 6 Pb 4.35-4.41
Cs 0.7621 0.6667 0.3333  6 Bi 4.00-4.01, 6 Pb 4.35-4.41

=====

(5)
Below is an optimized crystal structure of PuBiO6, with properties calculated at the PBE-GGA level.

Summary:
total moment = 0.00 μB/f.u.
E_form (uncorrected) = -1.294 eV per atom
SG = No. 84
DFT total energy = -7.29 eV per atom
DOS at the Fermi energy = 15.04 states/eV per cell
volume = 206.3 Å³/cell

Lattice parameters (Å, degrees): 5.0267 5.0267 8.1649 90.00 90.00 90.00
Closest atoms and distances in Å follow each position.
Fractional positions:
O 0.7360 0.2119 0.8093  1 Pu 1.93
O 0.7881 0.7360 0.6907  1 Pu 1.93
O 0.7881 0.7360 0.3093  1 Pu 1.93
O 0.2119 0.2640 0.6907  1 Pu 1.93
O 0.2640 0.7881 0.1907  1 Pu 1.93
O 0.2119 0.2640 0.3093  1 Pu 1.93
O 0.2640 0.7881 0.8093  1 Pu 1.93
O 0.7360 0.2119 0.1907  1 Pu 1.93
O 0.6616 0.3000 0.5000  1 Bi 2.27, 2 Pu 2.42
O 0.7000 0.6616 0.0000  1 Bi 2.27, 2 Pu 2.42
O 0.3000 0.3384 0.0000  1 Bi 2.27, 2 Pu 2.42
O 0.3384 0.7000 0.5000  1 Bi 2.27, 2 Pu 2.42
Pu 0.5000 0.5000 0.7500  4 O 1.93
Pu 0.5000 0.5000 0.2500  4 O 1.93
Bi 0.0000 0.0000 0.0000  6 O 2.27-2.31
Bi 0.0000 0.0000 0.5000  6 O 2.27-2.31

=====

(6)
Below is an optimized crystal structure of NiRuSe2, with properties calculated at the PBE-GGA level.

Summary:
total moment = 0.00 μB/f.u.
E_form (uncorrected) = 0.324 eV per atom
SG = No. 12
offset from the most stable computed form = 2.066 eV per formula unit
DFT total energy = -5.18 eV per atom
DOS at the Fermi energy = 3.51 states/eV per cell
volume = 68.4 Å³/cell

Lattice parameters (Å, degrees): 4.4763 4.4868 4.4882 66.17 78.88 113.73
Closest atoms and distances in Å follow each position.
Fractional positions:
Se 0.5000 0.0000 0.5000  2 Ru 2.45, 2 Ni 2.45
Se 0.0000 0.0000 0.0000  2 Ni 2.45, 2 Ru 2.45
Ni 0.0000 0.5000 0.5000  4 Se 2.45
Ru 0.5000 0.5000 0.0000  4 Se 2.45

=====

(7)
Below is an optimized crystal structure of BaMn3Sb, with properties calculated at the PBE-GGA level.

Summary:
total moment = 11.80 μB/f.u.
E_form (uncorrected) = 1.868 eV per atom
SG = No. 221
offset from the most stable computed form = 6.061 eV per formula unit
DFT total energy = -4.84 eV per atom
DOS at the Fermi energy = 3.97 states/eV per cell
volume = 142.5 Å³/cell

Lattice parameters (Å, degrees): 5.2237 5.2237 5.2237 90.00 90.00 90.00
Closest atoms and distances in Å follow each position.
Fractional positions:
Mn 0.0000 0.5000 0.0000  2 Ba 2.61
Mn 0.0000 0.0000 0.5000  2 Ba 2.61
Mn 0.5000 0.0000 0.0000  2 Ba 2.61
Ba 0.0000 0.0000 0.0000  6 Mn 2.61
Sb 0.5000 0.5000 0.5000  12 Mn 3.69

=====

(8)
Below is an optimized crystal structure of Nb3Ga2C, with properties calculated at the PBE-GGA level.

Summary:
energy of formation = -18.3 kJ/mol of atoms
total moment = 0.00 μB/f.u.
SG = No. 12
DFT total energy = -7.77 eV per atom
DOS at the Fermi energy = 4.54 states/eV per cell
volume = 192.5 Å³/cell

Lattice parameters (Å, degrees): 5.7774 5.7967 6.9091 81.95 73.68 60.11
Closest atoms and distances in Å follow each position.
Fractional positions:
Nb 0.5603 0.3731 0.1951  2 C 2.22-2.23
Nb 0.9334 0.6269 0.1951  2 C 2.22-2.23
Nb 0.3117 0.0000 0.1838  2 C 2.22, 1 Ga 2.48
Nb 0.6883 0.0000 0.8162  2 C 2.22, 1 Ga 2.48
Nb 0.0666 0.3731 0.8049  2 C 2.22-2.23
Nb 0.4397 0.6269 0.8049  2 C 2.22-2.23
Ga 0.0000 0.0000 0.0000  6 Nb 2.48-2.52
Ga 0.8607 0.2785 0.5000  6 Nb 2.79-2.92, 1 Ga 2.80
Ga 0.1393 0.7215 0.5000  6 Nb 2.79-2.92, 1 Ga 2.80
Ga 0.5000 0.0000 0.5000  6 Nb 2.70-2.88
C 0.3297 0.3406 0.0000  6 Nb 2.22-2.23
C 0.6703 0.6594 0.0000  6 Nb 2.22-2.23

=====

(9)
Below is an optimized crystal structure of ZrAl2Pt, with properties calculated at the PBE-GGA level.

Summary:
energy of formation = -65.4 kJ/mol of atoms
total moment = 0.00 μB/f.u.
SG = No. 10
DFT total energy = -6.20 eV per atom
DOS at the Fermi energy = 2.77 states/eV per cell
volume = 71.3 Å³/cell

Lattice parameters (Å, degrees): 4.3250 3.0801 5.3531 90.20 90.00 90.00
Closest atoms and distances in Å follow each position.
Fractional positions:
Pt 0.5000 0.2500 0.2500  4 Al 2.55
Zr 0.5000 0.7500 0.7500  8 Al 2.96-2.97, 2 Zr 3.08, 4 Pt 3.08-3.09
Al 0.0000 0.2525 0.9974  2 Pt 2.55, 2 Al 2.65-2.70
Al 0.0000 0.2475 0.5026  2 Pt 2.55, 2 Al 2.65-2.70

=====

(10)
Below is an optimized crystal structure of Cr2SbPb, with properties calculated at the PBE-GGA level.

Summary:
total moment = 8.10 μB/f.u.
E_form (uncorrected) = 0.529 eV per atom
SG = No. 139
offset from the most stable computed form = 0.999 eV per formula unit
DFT total energy = -6.24 eV per atom
DOS at the Fermi energy = 2.86 states/eV per cell
volume = 87.0 Å³/cell

Lattice parameters (Å, degrees): 5.1406 5.1406 5.1406 125.42 125.42 80.85
Closest atoms and distances in Å follow each position.
Fractional positions:
Cr 0.5000 0.5000 0.0000  4 Pb 3.06, 4 Sb 3.06, 4 Cr 3.33
Cr 0.0000 0.0000 0.0000  4 Pb 3.06, 4 Sb 3.06, 4 Cr 3.33
Sb 0.7500 0.2500 0.5000  8 Cr 3.06, 4 Pb 3.33
Pb 0.2500 0.7500 0.5000  8 Cr 3.06, 4 Sb 3.33